Crystalline Ta3Ni at its relaxed geometry. Source: Alexandria, functional GGA-PBE.

a b c (Å): 3.2672 3.2672 6.1810
angles (deg): 90.00 90.00 90.00
Fractional positions:
Ta (0.0000, 0.0000, 0.0000)
Ta (0.5000, 0.5000, 0.2616)
Ta (0.5000, 0.5000, 0.7384)
Ni (0.0000, 0.0000, 0.5000)

Output
Formation energy from the elements = -46 meV per atom
Space group = P4/mmm